(1)
# TmPaMn17, relaxed, DFT PBE
data_TmPaMn17
_chemical_formula_sum 'Tm3 Pa3 Mn51'
_cell_length_a 8.5800
_cell_length_b 8.5800
_cell_length_c 11.6157
_cell_angle_alpha 90.00
_cell_angle_beta 90.00
_cell_angle_gamma 120.00
_space_group_name_H-M_alt 'R 3 m'
_space_group_IT_number 160
_space_group_name_Hall 'R 3 -2"'
loop_
_atom_site_label
_atom_site_type_symbol
_atom_site_fract_x
_atom_site_fract_y
_atom_site_fract_z
_atom_site_occupancy
Tm1 Tm 0.0000 0.0000 0.0000 1
Pa1 Pa 0.0000 0.0000 0.2950 1
Mn1 Mn 0.0000 0.0000 0.5440 1
Mn2 Mn 0.0000 0.0000 0.7463 1
Mn3 Mn 0.0060 0.5030 0.5091 1
Mn4 Mn 0.0595 0.3919 0.3147 1
Mn5 Mn 0.1683 0.3366 0.4836 1
Mn6 Mn 0.1732 0.3464 0.1162 1
# V	12.99	Å³/atom
# E_tot	-510.30	eV/cell
# crystal system	trigonal
# density	8.97	Mg/m³
# density of states at the Fermi level	20.88	states/eV/f.u.

---

(2)
# UPaMn4, relaxed, DFT PBE
data_UPaMn4
_chemical_formula_sum 'U4 Pa4 Mn16'
_cell_length_a 7.130
_cell_length_b 7.130
_cell_length_c 7.130
_cell_angle_alpha 90.00
_cell_angle_beta 90.00
_cell_angle_gamma 90.00
_space_group_name_H-M_alt 'F -4 3 m'
_space_group_IT_number 216
_space_group_name_Hall 'F -4 2 3'
loop_
_atom_site_label
_atom_site_type_symbol
_atom_site_fract_x
_atom_site_fract_y
_atom_site_fract_z
_atom_site_occupancy
U1 U 0.000 0.000 0.000 1
Pa1 Pa 0.250 0.250 0.250 1
Mn1 Mn 0.125 0.125 0.625 1
# V	15.10	Å³/atom
# E_tot	-231.28	eV/cell
# crystal system	cubic
# density	12.62	Mg/m³
# density of states at the Fermi level	10.09	states/eV/f.u.

---

(3)
# U2PaMn, relaxed, DFT PBE
data_U2PaMn
_chemical_formula_sum 'U6 Pa3 Mn3'
_cell_length_a 4.0452
_cell_length_b 4.0452
_cell_length_c 16.3964
_cell_angle_alpha 90.00
_cell_angle_beta 90.00
_cell_angle_gamma 120.00
_space_group_name_H-M_alt 'R -3 m'
_space_group_IT_number 166
_space_group_name_Hall '-R 3 2"'
loop_
_atom_site_label
_atom_site_type_symbol
_atom_site_fract_x
_atom_site_fract_y
_atom_site_fract_z
_atom_site_occupancy
U1 U 0.0000 0.0000 0.2398 1
Pa1 Pa 0.0000 0.0000 0.0000 1
Mn1 Mn 0.0000 0.0000 0.5000 1
# V	19.36	Å³/atom
# E_tot	-120.17	eV/cell
# crystal system	trigonal
# offset from the most stable computed form	0.142	eV per atom
# density	16.34	Mg/m³
# density of states at the Fermi level	6.18	states/eV/f.u.

---

(4)
# UPaMn2, relaxed, DFT PBE
data_UPaMn2
_chemical_formula_sum 'U3 Pa3 Mn6'
_cell_length_a 4.2911
_cell_length_b 4.2911
_cell_length_c 13.5226
_cell_angle_alpha 90.00
_cell_angle_beta 90.00
_cell_angle_gamma 120.00
_space_group_name_H-M_alt 'R -3 m'
_space_group_IT_number 166
_space_group_name_Hall '-R 3 2"'
loop_
_atom_site_label
_atom_site_type_symbol
_atom_site_fract_x
_atom_site_fract_y
_atom_site_fract_z
_atom_site_occupancy
U1 U 0.0000 0.0000 0.0000 1
Pa1 Pa 0.0000 0.0000 0.5000 1
Mn1 Mn 0.0000 0.0000 0.2273 1
# V	17.97	Å³/atom
# E_tot	-115.24	eV/cell
# crystal system	trigonal
# offset from the most stable computed form	0.043	eV per atom
# density	13.37	Mg/m³
# density of states at the Fermi level	6.55	states/eV/f.u.

---

These records have energy of formation values of -0.0132 -0.0597 0.2967 0.1779 eV per atom, in the order they appear.